4
Lattice="3.7207 0.0000 0.0000 0.0000 3.7207 0.0000 0.0000 0.0000 7.0458" Properties=species:S:1:pos:R:3 comment="GGA-PBEsol LaSbSe2, optimized geometry" relative_energy_mev_per_atom=174 formation_energy_uncorrected_mev_per_atom=-922.8 magnetic_moment_mub_per_atom=0.000 dos_ef_per_ev_atom=0.823 pbc="T T T"
La 0.0000 0.0000 0.0000
Sb 0.0000 0.0000 3.5229
Se 1.8604 1.8604 1.6096
Se 1.8604 1.8604 5.4362


28
Lattice="8.4576 0.0000 0.0000 0.0000 8.0977 0.0000 -0.7651 0.0000 6.3692" Properties=species:S:1:pos:R:3 comment="GGA-PBEsol Na2S2O3, optimized geometry" formation_energy_uncorrected_mev_per_atom=-1465.7 magnetic_moment_mub_per_atom=0.000 dos_ef_per_ev_atom=0.000 pbc="T T T"
Na 0.3042 1.5896 0.8062
Na -0.0784 2.4592 3.9908
Na 2.9634 5.0527 4.4861
Na 3.3460 7.0939 1.3015
Na 4.3465 1.0038 5.0677
Na 4.7291 3.0450 1.8831
Na 7.7709 5.6385 2.3784
Na 7.3883 6.5081 5.5630
S 1.8262 4.4255 1.2948
S 1.4436 7.7211 4.4794
S 2.1016 0.8714 3.0460
S 1.7191 3.1774 6.2306
S 5.9734 4.9203 0.1386
S 5.5909 7.2263 3.3232
S 6.2489 0.3766 1.8898
S 5.8663 3.6723 5.0744
O 0.3787 0.3150 5.2505
O 0.7613 3.7339 2.0660
O 1.2857 5.6811 0.7210
O 0.9032 6.4655 3.9056
O 2.9966 4.7565 2.1548
O 2.6140 7.3900 5.3394
O 5.0785 0.7077 1.0298
O 4.6959 3.3412 4.2144
O 6.7893 1.6322 2.4636
O 6.4068 2.4166 5.6482
O 6.9312 4.3638 4.3032
O 7.3138 7.7828 1.1186


4
Lattice="1.6721 0.9654 9.5240 -1.6721 0.9654 9.5240 0.0000 -1.9308 9.5240" Properties=species:S:1:pos:R:3 comment="GGA-PBEsol HgRuPb2, optimized geometry" magnetic_moment_mub_per_atom=0.000 dos_ef_per_ev_atom=0.457 e_form_mev_per_atom=315 pbc="T T T"
Hg 0.0000 0.0000 0.0000
Ru 0.0000 0.0000 14.2860
Pb 0.0000 0.0000 6.7594
Pb 0.0000 0.0000 21.8125


18
Lattice="6.9430 0.0000 0.0000 0.0000 6.9430 0.0000 0.0000 0.0000 10.1648" Properties=species:S:1:pos:R:3 comment="GGA-PBEsol K2SnCl6, optimized geometry" relative_energy_mev_per_atom=0 formation_energy_uncorrected_mev_per_atom=-1455.4 magnetic_moment_mub_per_atom=0.000 dos_ef_per_ev_atom=0.000 pbc="T T T"
K 0.0000 3.4715 2.5412
K 0.0000 3.4715 7.6236
K 3.4715 0.0000 2.5412
K 3.4715 0.0000 7.6236
Sn 0.0000 0.0000 0.0000
Sn 3.4715 3.4715 5.0824
Cl 0.0000 0.0000 2.4510
Cl 0.0000 0.0000 7.7139
Cl 1.3957 2.0032 0.0000
Cl 1.4683 2.0758 5.0824
Cl 2.0032 5.5472 0.0000
Cl 2.0758 5.4746 5.0824
Cl 3.4715 3.4715 2.6315
Cl 3.4715 3.4715 7.5334
Cl 4.8672 1.4683 5.0824
Cl 4.9398 1.3957 0.0000
Cl 5.4746 4.8672 5.0824
Cl 5.5472 4.9398 0.0000


5
Lattice="5.3415 0.0000 0.0000 0.0000 5.3415 0.0000 0.0000 0.0000 5.3415" Properties=species:S:1:pos:R:3 comment="GGA-PBEsol PdSI3, optimized geometry" formation_energy_uncorrected_mev_per_atom=491.9 magnetic_moment_mub_per_atom=0.484 dos_ef_per_ev_atom=1.220 pbc="T T T"
Pd 0.0000 0.0000 0.0000
S 2.6708 2.6708 2.6708
I 0.0000 0.0000 2.6708
I 0.0000 2.6708 0.0000
I 2.6708 0.0000 0.0000


4
Lattice="2.9091 0.0000 0.0000 0.0000 2.9091 0.0000 0.0000 0.0000 6.7650" Properties=species:S:1:pos:R:3 comment="GGA-PBEsol Re2OsSe, optimized geometry" formation_energy_uncorrected_mev_per_atom=349.7 magnetic_moment_mub_per_atom=0.000 dos_ef_per_ev_atom=0.729 pbc="T T T"
Re 0.0000 0.0000 1.5989
Re 0.0000 0.0000 5.1661
Os 1.4546 1.4546 3.3825
Se 1.4546 1.4546 0.0000


4
Lattice="3.1624 -4.2302 0.0000 3.1624 4.2302 0.0000 0.0000 0.0000 3.2125" Properties=species:S:1:pos:R:3 comment="GGA-PBEsol Zr2HgPb, optimized geometry" relative_energy_mev_per_atom=14 magnetic_moment_mub_per_atom=0.000 dos_ef_per_ev_atom=0.574 e_form_mev_per_atom=-262 pbc="T T T"
Zr 1.5812 2.1151 0.0000
Zr 1.5812 -2.1151 0.0000
Hg 0.0000 0.0000 1.6063
Pb 3.1624 0.0000 1.6063


40
Lattice="9.5466 0.0000 0.0000 0.0000 12.7698 0.0000 -1.1230 0.0000 6.6313" Properties=species:S:1:pos:R:3 comment="GGA-PBEsol Ag2AsS2, optimized geometry" formation_energy_uncorrected_mev_per_atom=-91.2 magnetic_moment_mub_per_atom=0.000 pbc="T T T"
Ag 0.0000 1.2345 0.0000
Ag -0.5615 11.5353 3.3156
Ag 0.9338 5.0818 1.5550
Ag 0.3723 7.6880 4.8706
Ag 2.6895 1.3459 3.3217
Ag 3.2510 11.4239 0.0060
Ag 3.5804 5.0958 4.7433
Ag 4.1419 7.6740 1.4277
Ag 5.8340 1.2708 2.6819
Ag 5.2725 11.4991 5.9975
Ag 6.0776 2.6323 5.4545
Ag 6.6391 10.1375 2.1389
Ag 6.8123 4.1475 1.5367
Ag 6.2508 8.6223 4.8523
Ag 7.1198 6.3450 6.4989
Ag 7.6813 6.4249 3.1832
As 0.1003 2.1905 3.4885
As 0.6618 10.5793 0.1728
As -0.0899 3.9742 5.2566
As 0.4715 8.7956 1.9410
As 3.4017 4.0095 1.2703
As 2.8402 8.7604 4.5859
As 2.6484 2.1615 6.2146
As 3.2099 10.6083 2.8989
S 1.1005 5.4895 4.0938
S 1.6619 7.2803 0.7782
S 2.3868 0.8455 0.7711
S 1.8253 11.9244 4.0867
S 4.2919 3.2312 3.2145
S 3.7304 9.5387 6.5301
S 5.0330 5.4242 0.5608
S 4.4715 7.3456 3.8765
S 5.7580 1.2279 0.1669
S 5.1966 11.5420 3.4826
S 7.3118 4.6740 4.7969
S 7.8733 8.0958 1.4813
S 7.8705 0.9590 4.1792
S 8.4319 11.8108 0.8636
S 8.9579 3.1448 1.5676
S 8.3964 9.6250 4.8833


16
Lattice="5.1436 0.0000 0.0000 -1.6147 5.1226 0.0000 -1.4691 -2.3415 6.2548" Properties=species:S:1:pos:R:3 comment="GGA-PBEsol LiMnAsO5, optimized geometry" formation_energy_uncorrected_mev_per_atom=-1573.5 magnetic_moment_mub_per_atom=0.001 pbc="T T T"
Li 0.0780 0.9056 1.3066
Li 1.9818 1.8755 4.9482
Mn 2.5718 0.0000 0.0000
Mn 1.8373 -1.1708 3.1274
As -0.6182 -0.0823 4.6331
As 2.6780 2.8634 1.6217
O -1.4054 3.0017 2.9661
O -1.3124 1.1815 5.5602
O -0.5127 -1.4438 5.7006
O 1.6613 -0.3124 1.5422
O 0.9387 0.2992 4.0256
O 1.1211 2.4819 2.2292
O 0.3986 3.0934 4.7125
O 2.5725 4.2248 0.5541
O 3.3723 1.5996 0.6946
O 3.4652 -0.2207 3.2887


5
Lattice="4.0306 0.0000 0.0000 0.0000 4.0306 0.0000 0.0000 0.0000 4.1834" Properties=species:S:1:pos:R:3 comment="GGA-PBEsol GaSbN2F, optimized geometry" formation_energy_uncorrected_mev_per_atom=285.5 magnetic_moment_mub_per_atom=0.000 dos_ef_per_ev_atom=0.450 pbc="T T T"
Ga 0.0000 0.0000 0.0000
Sb 2.0153 2.0153 2.0917
N 0.0000 2.0153 2.0917
N 2.0153 0.0000 2.0917
F 2.0153 2.0153 0.0000


4
Lattice="4.0718 0.0000 0.0000 0.0000 4.0718 0.0000 0.0000 0.0000 5.7696" Properties=species:S:1:pos:R:3 comment="GGA-PBEsol Ca2NiSe, optimized geometry" formation_energy_uncorrected_mev_per_atom=-743.8 magnetic_moment_mub_per_atom=0.030 dos_ef_per_ev_atom=1.213 pbc="T T T"
Ca 0.0000 0.0000 0.0000
Ca 2.0359 2.0359 2.8753
Ni 0.0000 0.0000 2.8845
Se 2.0359 2.0359 5.7597


4
Lattice="2.7940 0.0000 0.0000 -1.3970 2.4197 0.0000 0.0000 0.0000 9.3607" Properties=species:S:1:pos:R:3 comment="GGA-PBEsol TaOs, optimized geometry" magnetic_moment_mub_per_atom=0.000 dos_ef_per_ev_atom=0.993 e_form_mev_per_atom=126 pbc="T T T"
Ta 0.0000 1.6131 3.3898
Ta 1.3970 0.8066 5.9709
Os 0.0000 1.6131 8.3108
Os 1.3970 0.8066 1.0499


4
Lattice="4.3570 -1.4690 0.0000 4.3570 1.4690 0.0000 -1.2508 0.0000 4.4632" Properties=species:S:1:pos:R:3 comment="GGA-PBEsol Li2PtAu, optimized geometry" magnetic_moment_mub_per_atom=0.000 dos_ef_per_ev_atom=0.232 e_form_mev_per_atom=-456 pbc="T T T"
Li 1.8618 0.0000 1.0707
Li 5.6014 0.0000 3.3925
Pt 4.3570 0.0000 0.0000
Au -0.6254 0.0000 2.2316


3
Lattice="1.9296 1.1140 6.1212 -1.9296 1.1140 6.1212 0.0000 -2.2281 6.1212" Properties=species:S:1:pos:R:3 comment="GGA-PBEsol KCaN, optimized geometry" formation_energy_uncorrected_mev_per_atom=-203.8 magnetic_moment_mub_per_atom=0.035 dos_ef_per_ev_atom=0.952 pbc="T T T"
K 0.0000 0.0000 0.0000
Ca 0.0000 0.0000 9.7869
N 0.0000 0.0000 4.3705


6
Lattice="0.0000 3.9017 3.9017 3.9017 0.0000 3.9017 3.9017 3.9017 0.0000" Properties=species:S:1:pos:R:3 comment="GGA-PBEsol HgAu4Br, optimized geometry" formation_energy_uncorrected_mev_per_atom=160.8 magnetic_moment_mub_per_atom=0.000 dos_ef_per_ev_atom=0.698 pbc="T T T"
Hg 0.0000 0.0000 0.0000
Au 2.9248 2.9248 2.9248
Au 4.8786 4.8786 2.9248
Au 4.8786 2.9248 4.8786
Au 2.9248 4.8786 4.8786
Br 5.8526 5.8526 5.8526


10
Lattice="8.2966 0.0000 0.0000 0.0000 8.2966 0.0000 0.0000 0.0000 2.7998" Properties=species:S:1:pos:R:3 comment="GGA-PBEsol NaZn2Cd2, optimized geometry" relative_energy_mev_per_atom=0 magnetic_moment_mub_per_atom=0.000 dos_ef_per_ev_atom=0.296 e_form_mev_per_atom=7 pbc="T T T"
Na 0.0000 0.0000 0.0000
Na 4.1483 4.1483 0.0000
Zn 1.2880 2.8604 1.3999
Zn 2.8604 7.0087 1.3999
Zn 5.4363 1.2880 1.3999
Zn 7.0087 5.4363 1.3999
Cd 1.1737 5.3220 0.0000
Cd 2.9747 1.1737 0.0000
Cd 5.3220 7.1230 0.0000
Cd 7.1230 2.9747 0.0000


4
Lattice="4.6104 0.0000 0.0000 0.0000 4.6104 0.0000 0.0000 0.0000 3.8669" Properties=species:S:1:pos:R:3 comment="GGA-PBEsol LiCaAg2, optimized geometry" relative_energy_mev_per_atom=62 magnetic_moment_mub_per_atom=0.000 dos_ef_per_ev_atom=0.358 e_form_mev_per_atom=-151 pbc="T T T"
Li 0.0000 0.0000 0.0000
Ca 2.3052 2.3052 0.0000
Ag 0.0000 2.3052 1.9335
Ag 2.3052 0.0000 1.9335


5
Lattice="2.0566 1.1874 8.4759 -2.0566 1.1874 8.4759 0.0000 -2.3747 8.4759" Properties=species:S:1:pos:R:3 comment="GGA-PBEsol Sb3As2, optimized geometry" formation_energy_uncorrected_mev_per_atom=38.0 magnetic_moment_mub_per_atom=0.000 dos_ef_per_ev_atom=0.462 pbc="T T T"
Sb 0.0000 0.0000 0.0000
Sb 0.0000 0.0000 5.1748
Sb 0.0000 0.0000 20.2529
As 0.0000 0.0000 10.1197
As 0.0000 0.0000 15.3079


6
Lattice="4.4051 0.0000 0.0000 -2.2026 3.8150 0.0000 0.0000 0.0000 4.0004" Properties=species:S:1:pos:R:3 comment="GGA-PBEsol TaCo5, optimized geometry" magnetic_moment_mub_per_atom=0.687 dos_ef_per_ev_atom=1.068 e_form_mev_per_atom=-92 pbc="T T T"
Ta 0.0000 0.0000 0.0000
Co -1.3964 2.4186 2.0002
Co 0.0000 2.5433 0.0000
Co 0.8062 1.3964 2.0002
Co 2.7927 0.0000 2.0002
Co 2.2026 1.2716 0.0000


5
Lattice="5.0886 0.0000 0.0000 0.0000 5.0886 0.0000 0.0000 0.0000 5.0886" Properties=species:S:1:pos:R:3 comment="GGA-PBEsol CdCoBi3, optimized geometry" magnetic_moment_mub_per_atom=0.001 dos_ef_per_ev_atom=0.897 e_form_mev_per_atom=351 pbc="T T T"
Cd 0.0000 0.0000 0.0000
Co 2.5443 2.5443 2.5443
Bi 0.0000 2.5443 2.5443
Bi 2.5443 0.0000 2.5443
Bi 2.5443 2.5443 0.0000


We obtain raw total energy values of -5.32, -5.37, -4.37, -3.52, -2.64, -10.33, -5.95, -4.19, -6.96, -5.09, -4.31, -12.26, -4.16, -4.13, -2.86, -1.38, -2.83, -4.74, -8.63, -4.01 eV/atom for the records listed above, in that order.